Tb2TmSe2O2 | GGA-PBE | relaxed

a = 8.186 Å, b = 8.186 Å, c = 8.186 Å
α = 150.07°, β = 150.07°, γ = 42.83°
Fractional positions:
Tb (0.127, 0.127, 0.000)
Tb (0.873, 0.873, 0.000)
Tm (0.500, 0.500, 0.000)
Se (0.318, 0.318, 0.000)
Se (0.682, 0.682, 0.000)
O (0.000, 0.500, 0.500)
O (0.500, 0.000, 0.500)

Output
V, Å³ per atom: 19.5
Uncorrected energy, eV/f.u.: -46.96
Space-group type: I4/mmm
Spin magnetization, μB per formula unit: 0.00
Density of states at the Fermi level, states/eV/f.u.: 3.2
E_form (uncorrected), eV per atom: -2.33

=====

TcS2I | GGA-PBE | relaxed

a = 3.242 Å, b = 3.242 Å, c = 11.211 Å
α = 91.57°, β = 91.57°, γ = 64.14°
Fractional positions:
Tc (0.000, 0.000, 0.000)
S (0.336, 0.336, 0.868)
S (0.663, 0.663, 0.131)
I (0.333, 0.333, 0.474)

Output
V, Å³ per atom: 26.5
Uncorrected energy, eV/f.u.: -20.72
Space-group type: Cm
Spin magnetization, μB per formula unit: 0.92
Excess energy over the best structure of this formula in the dataset, meV/atom: 0
Density of states at the Fermi level, states/eV/f.u.: 2.9
E_form (uncorrected), eV per atom: -0.14

=====

CuTc2Cl | GGA-PBE | relaxed

a = 4.546 Å, b = 4.546 Å, c = 7.260 Å
α = 119.81°, β = 119.81°, γ = 36.13°
Fractional positions:
Cu (0.000, 0.000, 0.000)
Tc (0.211, 0.211, 0.839)
Tc (0.789, 0.789, 0.161)
Cl (0.500, 0.500, 0.500)

Output
V, Å³ per atom: 18.9
Uncorrected energy, eV/f.u.: -24.37
Space-group type: C2/m
Spin magnetization, μB per formula unit: 0.00
Excess energy over the best structure of this formula in the dataset, meV/atom: 402
Density of states at the Fermi level, states/eV/f.u.: 4.0
E_form (uncorrected), eV per atom: 0.58